1.
The following is a DFT calculation (PBE-GGA) of a geometry-optimized YRhSe2Br structure.

The total energy comes out at -4.49 eV per atom. For the density of states at the Fermi level, the calculation gives 5.83 states/eV/cell. For the raw formation energy, the calculation gives 0.005 eV/atom. The distance to the lowest polymorph of the same formula comes out at 532 meV per atom. As for the density: 4.4 g/cm3.

The structure belongs to space group P4/mmm (No. 123); the cell edges are 5.492, 5.492 and 5.408 Å and the angles 90.00°, 90.00° and 90.00°. The distinct sites, in fractional coordinates, are Y at (0.000, 0.000, 0.000), Rh at (0.500, 0.500, 0.500), Se at (0.000, 0.500, 0.000) and Br at (0.000, 0.000, 0.500).

***

2.
The following is a DFT calculation (PBE-GGA) of a geometry-optimized YRhSeBr2 structure.

The total energy comes out at -4.56 eV per atom. For the density of states at the Fermi level, the calculation gives 2.52 states/eV/cell. For the raw formation energy, the calculation gives -0.435 eV/atom. The distance to the lowest polymorph of the same formula comes out at 0 meV per atom. As for the density: 5.8 g/cm3.

The structure belongs to space group P4/mmm (No. 123); the cell edges are 4.956, 4.956 and 5.047 Å and the angles 90.00°, 90.00° and 90.00°. The distinct sites, in fractional coordinates, are Y at (0.000, 0.000, 0.000), Rh at (0.500, 0.500, 0.500), Se at (0.500, 0.500, 0.000) and Br at (0.000, 0.500, 0.500).

***

3.
The following is a DFT calculation (PBE-GGA) of a geometry-optimized YRhSeBr2 structure.

The total energy comes out at -4.42 eV per atom. For the raw formation energy, the calculation gives -0.291 eV/atom. The distance to the lowest polymorph of the same formula comes out at 144 meV per atom. As for the density: 4.3 g/cm3.

The structure belongs to space group P4/mmm (No. 123); the cell edges are 5.486, 5.486 and 5.572 Å and the angles 90.00°, 90.00° and 90.00°. The distinct sites, in fractional coordinates, are Y at (0.000, 0.000, 0.000), Rh at (0.500, 0.500, 0.500), Se at (0.000, 0.000, 0.500) and Br at (0.000, 0.500, 0.000).

***

- Look up the raw formation energy of the second one.
  -0.435 eV/atom

***

What did the third record say?
The following is a DFT calculation (PBE-GGA) of a geometry-optimized YRhSeBr2 structure.

The total energy comes out at -4.42 eV per atom. For the raw formation energy, the calculation gives -0.291 eV/atom. The distance to the lowest polymorph of the same formula comes out at 144 meV per atom. As for the density: 4.3 g/cm3.

The structure belongs to space group P4/mmm (No. 123); the cell edges are 5.486, 5.486 and 5.572 Å and the angles 90.00°, 90.00° and 90.00°. The distinct sites, in fractional coordinates, are Y at (0.000, 0.000, 0.000), Rh at (0.500, 0.500, 0.500), Se at (0.000, 0.000, 0.500) and Br at (0.000, 0.500, 0.000).

***

- What is the distance to the lowest polymorph of the same formula in the first record?
  532 meV per atom

***

- Which of these has the lowest distance to the lowest polymorph of the same formula?
  number 2